(1)
8
Lattice="-2.700 2.700 3.791 2.700 -2.700 3.791 2.700 2.700 -3.791" Properties=species:S:1:pos:R:3 comment="PH2Br | Alexandria | PBE | relaxed" dos_at_fermi_per_ev_cell=1.9 e_tot_ev_per_atom=-3.125 pbc="T T T"
P 2.700 1.350 0.948
P 0.000 1.350 2.843
H 2.700 0.000 0.000
H -1.350 1.350 1.895
H 0.000 0.000 3.791
H 1.350 1.350 1.895
Br 2.700 -1.350 2.843
Br 0.000 4.050 0.948

(2)
6
Lattice="3.532 -2.018 0.000 3.532 2.018 0.000 -2.315 0.000 6.470" Properties=species:S:1:pos:R:3 comment="BeGaPd4 | Alexandria | PBE | relaxed" e_form_ev_per_atom=-0.42 dos_at_fermi_per_ev_cell=2.4 e_tot_ev_per_atom=-5.006 pbc="T T T"
Be 0.000 0.000 0.000
Ga 2.375 0.000 3.235
Pd 0.026 0.000 2.316
Pd 2.360 0.000 0.699
Pd 2.389 0.000 5.771
Pd 4.724 0.000 4.155

(3)
4
Lattice="0.000 3.669 3.669 3.669 0.000 3.669 3.669 3.669 0.000" Properties=species:S:1:pos:R:3 comment="Rb2BO | Alexandria | PBE | relaxed" dos_at_fermi_per_ev_cell=4.3 e_tot_ev_per_atom=-2.662 pbc="T T T"
Rb 1.835 1.835 1.835
Rb 5.504 5.504 5.504
B 0.000 0.000 0.000
O 3.669 3.669 3.669

(4)
12
Lattice="8.178 -2.380 0.000 8.178 2.380 0.000 -6.816 0.000 8.398" Properties=species:S:1:pos:R:3 comment="Ca5Al2Sn5 | Alexandria | PBE | relaxed" e_form_ev_per_atom=-0.49 dos_at_fermi_per_ev_cell=3.3 e_tot_ev_per_atom=-3.617 pbc="T T T"
Ca 0.000 0.000 0.000
Ca -1.134 0.000 3.495
Ca -2.657 0.000 6.919
Ca 12.197 0.000 1.479
Ca 10.674 0.000 4.903
Al 0.668 0.000 6.359
Al 8.871 0.000 2.039
Sn 2.022 0.000 2.671
Sn 6.234 0.000 1.183
Sn 4.770 0.000 4.199
Sn 3.306 0.000 7.215
Sn 7.517 0.000 5.727

(5)
8
Lattice="7.777 0.000 0.000 0.000 4.542 0.000 -2.576 0.000 7.368" Properties=species:S:1:pos:R:3 comment="AgBiTe4Pb2 | Alexandria | PBE | relaxed" dos_at_fermi_per_ev_cell=1.7 e_tot_ev_per_atom=-3.580 pbc="T T T"
Ag 0.000 0.000 0.000
Bi 3.888 2.271 0.000
Te 1.247 2.271 1.708
Te -0.072 0.000 5.650
Te 5.272 0.000 1.718
Te 3.953 2.271 5.661
Pb -1.288 2.271 3.684
Pb 2.600 0.000 3.684

(6)
10
Lattice="6.472 0.000 0.000 0.000 5.769 0.000 -0.767 0.000 6.360" Properties=species:S:1:pos:R:3 comment="KCdHgO2 | Alexandria | PBE | relaxed" dos_at_fermi_per_ev_cell=4.5 e_tot_ev_per_atom=-3.161 pbc="T T T"
K -0.192 0.866 1.590
K -0.575 4.903 4.770
Cd 2.661 0.110 4.770
Cd 3.044 5.659 1.590
Hg 3.236 2.885 0.000
Hg 2.852 2.885 3.180
O 1.171 0.929 6.257
O 1.555 4.840 3.078
O 4.150 0.929 3.282
O 4.533 4.840 0.102

(7)
4
Lattice="4.678 -1.438 0.000 4.678 1.438 0.000 -0.900 0.000 4.863" Properties=species:S:1:pos:R:3 comment="MoOsAu2 | Alexandria | PBE | relaxed" e_form_ev_per_atom=0.40 dos_at_fermi_per_ev_cell=3.8 e_tot_ev_per_atom=-6.753 pbc="T T T"
Mo 0.000 0.000 0.000
Os 1.758 0.000 3.898
Au 4.317 0.000 2.532
Au 6.805 0.000 1.366

(8)
7
Lattice="2.018 -10.424 0.000 2.018 10.424 0.000 0.000 0.000 3.588" Properties=species:S:1:pos:R:3 comment="Ho2Ag3Au2 | Alexandria | PBE | relaxed" e_form_ev_per_atom=-0.45 dos_at_fermi_per_ev_cell=2.5 e_tot_ev_per_atom=-3.919 pbc="T T T"
Ho 2.018 7.319 0.000
Ho 2.018 -7.319 0.000
Ag 0.000 0.000 0.000
Ag 2.018 1.375 1.794
Ag 2.018 -1.375 1.794
Au 2.018 4.262 1.794
Au 2.018 -4.262 1.794

(9)
4
Lattice="3.860 0.000 0.000 0.000 3.099 0.000 -0.032 0.000 4.505" Properties=species:S:1:pos:R:3 comment="LiVCuS | Alexandria | PBE | relaxed" dos_at_fermi_per_ev_cell=2.2 e_tot_ev_per_atom=-5.011 pbc="T T T"
Li 0.000 0.000 0.000
V 1.938 0.000 2.068
Cu 1.892 1.549 4.342
S 0.008 1.549 2.530

(10)
12
Lattice="6.382 0.000 0.000 0.000 6.382 0.000 0.000 0.000 6.382" Properties=species:S:1:pos:R:3 comment="SrPIr | Alexandria | PBE | relaxed" e_form_ev_per_atom=-0.98 dos_at_fermi_per_ev_cell=5.1 e_tot_ev_per_atom=-6.293 pbc="T T T"
Sr 0.758 0.758 0.758
Sr 2.433 5.624 3.950
Sr 3.950 2.433 5.624
Sr 5.624 3.950 2.433
P 1.031 2.160 4.223
P 2.160 4.223 1.031
P 4.223 1.031 2.160
P 5.351 5.351 5.351
Ir 0.587 3.778 5.796
Ir 2.604 2.604 2.604
Ir 3.778 5.796 0.587
Ir 5.796 0.587 3.778

(11)
12
Lattice="3.160 -5.463 0.000 3.160 5.463 0.000 -2.083 0.000 7.592" Properties=species:S:1:pos:R:3 comment="Tm6Hg3C2S | Alexandria | PBE | relaxed" dos_at_fermi_per_ev_cell=7.7 e_tot_ev_per_atom=-4.902 pbc="T T T"
Tm -0.061 1.973 6.172
Tm 0.888 0.000 1.380
Tm -0.061 -1.973 6.172
Tm 4.298 1.973 1.419
Tm 3.348 0.000 6.211
Tm 4.298 -1.973 1.419
Hg -1.041 0.000 3.796
Hg 2.118 1.674 3.796
Hg 2.118 -1.674 3.796
C 3.160 3.631 0.000
C 3.160 -3.631 0.000
S 3.160 0.000 0.000

(12)
10
Lattice="-2.074 2.074 10.394 2.074 -2.074 10.394 2.074 2.074 -10.394" Properties=species:S:1:pos:R:3 comment="PmZn2Cu2 | Alexandria | PBE | relaxed" e_form_ev_per_atom=-0.23 dos_at_fermi_per_ev_cell=6.8 e_tot_ev_per_atom=-3.329 pbc="T T T"
Pm 0.000 0.000 2.668
Pm 0.000 0.000 18.119
Zn 2.074 0.000 0.000
Zn 0.000 0.000 6.550
Zn 0.000 2.074 0.000
Zn 0.000 0.000 14.237
Cu 2.074 0.000 5.197
Cu 0.000 0.000 8.995
Cu 0.000 0.000 11.792
Cu 0.000 2.074 5.197

(13)
8
Lattice="4.874 0.000 0.000 -0.992 4.925 0.000 -1.461 -0.393 6.000" Properties=species:S:1:pos:R:3 comment="PuZnPd2 | Alexandria | PBE | relaxed" e_form_ev_per_atom=-0.38 dos_at_fermi_per_ev_cell=19.1 e_tot_ev_per_atom=-6.876 pbc="T T T"
Pu 0.696 1.760 0.441
Pu 1.725 2.772 5.559
Zn -0.148 4.109 2.251
Zn 2.570 0.423 3.749
Pd -0.008 1.590 3.343
Pd -0.686 4.114 4.814
Pd 3.107 0.419 1.186
Pd 2.430 2.942 2.657